# Al6FeRh5 (PBE, optimized geometry)
data_Al6FeRh5
_chemical_formula_sum 'Al12 Fe2 Rh10'
_space_group_name_H-M_alt 'I m m m'
_space_group_IT_number 71
_space_group_name_Hall '-I 2 2'
_cell_length_a 4.2109
_cell_length_b 5.9534
_cell_length_c 12.6534
_cell_angle_alpha 90.00
_cell_angle_beta 90.00
_cell_angle_gamma 90.00
loop_
_atom_site_label
_atom_site_type_symbol
_atom_site_fract_x
_atom_site_fract_y
_atom_site_fract_z
Al1 Al 0.0000 0.2405 0.0000
Al2 Al 0.0000 0.2551 0.3373
Fe1 Fe 0.0000 0.5000 0.5000
Rh1 Rh 0.0000 0.0000 0.1684
Rh2 Rh 0.0000 0.0000 0.5000
Rh3 Rh 0.0000 0.5000 0.1666
# Energy: -158.86 eV/cell
# Calculated density: 7.67 g/cm3

***

# AlFe2Rh (PBE, optimized geometry)
data_AlFe2Rh
_chemical_formula_sum 'Al1 Fe2 Rh1'
_space_group_name_H-M_alt 'P 4 m m'
_space_group_IT_number 99
_space_group_name_Hall 'P 4 -2'
_cell_length_a 2.9502
_cell_length_b 2.9502
_cell_length_c 5.8423
_cell_angle_alpha 90.00
_cell_angle_beta 90.00
_cell_angle_gamma 90.00
loop_
_atom_site_label
_atom_site_type_symbol
_atom_site_fract_x
_atom_site_fract_y
_atom_site_fract_z
Al1 Al 0.0000 0.0000 0.0000
Fe1 Fe 0.0000 0.0000 0.4692
Fe2 Fe 0.5000 0.5000 0.2493
Rh1 Rh 0.5000 0.5000 0.7449
# Energy: -29.54 eV/cell
# Calculated density: 7.89 g/cm3

***

# Al4FeRh (PBE, optimized geometry)
data_Al4FeRh
_chemical_formula_sum 'Al12 Fe3 Rh3'
_space_group_name_H-M_alt 'R -3 m'
_space_group_IT_number 166
_space_group_name_Hall '-R 3 2"'
_cell_length_a 4.0528
_cell_length_b 4.0528
_cell_length_c 20.2812
_cell_angle_alpha 90.00
_cell_angle_beta 90.00
_cell_angle_gamma 120.00
loop_
_atom_site_label
_atom_site_type_symbol
_atom_site_fract_x
_atom_site_fract_y
_atom_site_fract_z
Al1 Al 0.0000 0.0000 0.1196
Al2 Al 0.0000 0.0000 0.3721
Fe1 Fe 0.0000 0.0000 0.0000
Rh1 Rh 0.0000 0.0000 0.5000
# ΔE to the lowest computed polymorph: 0.0 kJ per mole of atoms
# Calculated density: 4.60 g/cm3

***

# Al4FeRh3 (PBE, optimized geometry)
data_Al4FeRh3
_chemical_formula_sum 'Al4 Fe1 Rh3'
_space_group_name_H-M_alt 'P 4/m m m'
_space_group_IT_number 123
_space_group_name_Hall '-P 4 2'
_cell_length_a 2.9657
_cell_length_b 2.9657
_cell_length_c 11.8824
_cell_angle_alpha 90.00
_cell_angle_beta 90.00
_cell_angle_gamma 90.00
loop_
_atom_site_label
_atom_site_type_symbol
_atom_site_fract_x
_atom_site_fract_y
_atom_site_fract_z
Al1 Al 0.0000 0.0000 0.1131
Al2 Al 0.0000 0.0000 0.3709
Fe1 Fe 0.5000 0.5000 0.0000
Rh1 Rh 0.5000 0.5000 0.2462
Rh2 Rh 0.5000 0.5000 0.5000
# Energy: -52.84 eV/cell
# Calculated density: 7.51 g/cm3

***

# AlFe2Rh (PBE, optimized geometry)
data_AlFe2Rh
_chemical_formula_sum 'Al1 Fe2 Rh1'
_space_group_name_H-M_alt 'P 4/m m m'
_space_group_IT_number 123
_space_group_name_Hall '-P 4 2'
_cell_length_a 3.5919
_cell_length_b 3.5919
_cell_length_c 4.0543
_cell_angle_alpha 90.00
_cell_angle_beta 90.00
_cell_angle_gamma 90.00
loop_
_atom_site_label
_atom_site_type_symbol
_atom_site_fract_x
_atom_site_fract_y
_atom_site_fract_z
Al1 Al 0.0000 0.0000 0.0000
Fe1 Fe 0.0000 0.5000 0.5000
Rh1 Rh 0.5000 0.5000 0.0000
# Energy: -29.37 eV/cell
# Calculated density: 7.67 g/cm3

***

# AlFeRh6 (PBE, optimized geometry)
data_AlFeRh6
_chemical_formula_sum 'Al2 Fe2 Rh12'
_space_group_name_H-M_alt 'C 1 2/m 1'
_space_group_IT_number 12
_space_group_name_Hall '-C 2y'
_cell_length_a 8.4846
_cell_length_b 3.8326
_cell_length_c 7.6771
_cell_angle_alpha 90.00
_cell_angle_beta 116.93
_cell_angle_gamma 90.00
loop_
_atom_site_label
_atom_site_type_symbol
_atom_site_fract_x
_atom_site_fract_y
_atom_site_fract_z
Al1 Al 0.0000 0.0000 0.0000
Fe1 Fe 0.0000 0.0000 0.5000
Rh1 Rh 0.0006 0.5000 0.7465
Rh2 Rh 0.2490 0.5000 0.1255
Rh3 Rh 0.2501 0.0000 0.3754
# Energy: -116.87 eV/cell
# Calculated density: 10.45 g/cm3

***

# AlFe2Rh (PBE, optimized geometry)
data_AlFe2Rh
_chemical_formula_sum 'Al3 Fe6 Rh3'
_space_group_name_H-M_alt 'R -3 m'
_space_group_IT_number 166
_space_group_name_Hall '-R 3 2"'
_cell_length_a 2.6881
_cell_length_b 2.6881
_cell_length_c 25.3156
_cell_angle_alpha 90.00
_cell_angle_beta 90.00
_cell_angle_gamma 120.00
loop_
_atom_site_label
_atom_site_type_symbol
_atom_site_fract_x
_atom_site_fract_y
_atom_site_fract_z
Al1 Al 0.0000 0.0000 0.0000
Fe1 Fe 0.0000 0.0000 0.2513
Rh1 Rh 0.0000 0.0000 0.5000
# Energy: -84.61 eV/cell
# Calculated density: 7.60 g/cm3

***

# Al2FeRh4 (PBE, optimized geometry)
data_Al2FeRh4
_chemical_formula_sum 'Al4 Fe2 Rh8'
_space_group_name_H-M_alt 'I 4/m m m'
_space_group_IT_number 139
_space_group_name_Hall '-I 4 2'
_cell_length_a 5.8759
_cell_length_b 5.8759
_cell_length_c 5.9182
_cell_angle_alpha 90.00
_cell_angle_beta 90.00
_cell_angle_gamma 90.00
loop_
_atom_site_label
_atom_site_type_symbol
_atom_site_fract_x
_atom_site_fract_y
_atom_site_fract_z
Al1 Al 0.0000 0.5000 0.0000
Fe1 Fe 0.0000 0.0000 0.0000
Rh1 Rh 0.2500 0.2500 0.2500
# Energy: -96.90 eV/cell
# Calculated density: 8.47 g/cm3

***

# AlFeRh3 (PBE, optimized geometry)
data_AlFeRh3
_chemical_formula_sum 'Al1 Fe1 Rh3'
_space_group_name_H-M_alt 'P m -3 m'
_space_group_IT_number 221
_space_group_name_Hall '-P 4 2 3'
_cell_length_a 4.4158
_cell_length_b 4.4158
_cell_length_c 4.4158
_cell_angle_alpha 90.00
_cell_angle_beta 90.00
_cell_angle_gamma 90.00
loop_
_atom_site_label
_atom_site_type_symbol
_atom_site_fract_x
_atom_site_fract_y
_atom_site_fract_z
Al1 Al 0.0000 0.0000 0.0000
Fe1 Fe 0.5000 0.5000 0.5000
Rh1 Rh 0.0000 0.5000 0.5000
# ΔE to the lowest computed polymorph: 0.0 kJ per mole of atoms
# Calculated density: 7.55 g/cm3

***

# Al4Fe3Rh (PBE, optimized geometry)
data_Al4Fe3Rh
_chemical_formula_sum 'Al4 Fe3 Rh1'
_space_group_name_H-M_alt 'P 4/m m m'
_space_group_IT_number 123
_space_group_name_Hall '-P 4 2'
_cell_length_a 2.9122
_cell_length_b 2.9122
_cell_length_c 11.5719
_cell_angle_alpha 90.00
_cell_angle_beta 90.00
_cell_angle_gamma 90.00
loop_
_atom_site_label
_atom_site_type_symbol
_atom_site_fract_x
_atom_site_fract_y
_atom_site_fract_z
Al1 Al 0.0000 0.0000 0.1231
Al2 Al 0.0000 0.0000 0.3646
Fe1 Fe 0.5000 0.5000 0.0000
Fe2 Fe 0.5000 0.5000 0.2426
Rh1 Rh 0.5000 0.5000 0.5000
# Energy: -51.90 eV/cell
# Calculated density: 6.40 g/cm3

***

# AlFe2Rh2 (PBE, optimized geometry)
data_AlFe2Rh2
_chemical_formula_sum 'Al2 Fe4 Rh4'
_space_group_name_H-M_alt 'P 4/m b m'
_space_group_IT_number 127
_space_group_name_Hall '-P 4 2ab'
_cell_length_a 7.0479
_cell_length_b 7.0479
_cell_length_c 2.8391
_cell_angle_alpha 90.00
_cell_angle_beta 90.00
_cell_angle_gamma 90.00
loop_
_atom_site_label
_atom_site_type_symbol
_atom_site_fract_x
_atom_site_fract_y
_atom_site_fract_z
Al1 Al 0.0000 0.0000 0.0000
Fe1 Fe 0.1159 0.3841 0.0000
Rh1 Rh 0.1813 0.6813 0.5000
# Energy: -70.92 eV/cell
# Calculated density: 8.11 g/cm3

***

# AlFe2Rh (PBE, optimized geometry)
data_AlFe2Rh
_chemical_formula_sum 'Al2 Fe4 Rh2'
_space_group_name_H-M_alt 'C m m m'
_space_group_IT_number 65
_space_group_name_Hall '-C 2 2'
_cell_length_a 5.0799
_cell_length_b 7.6381
_cell_length_c 2.6746
_cell_angle_alpha 90.00
_cell_angle_beta 90.00
_cell_angle_gamma 90.00
loop_
_atom_site_label
_atom_site_type_symbol
_atom_site_fract_x
_atom_site_fract_y
_atom_site_fract_z
Al1 Al 0.0000 0.0000 0.0000
Fe1 Fe 0.2500 0.2500 0.5000
Rh1 Rh 0.0000 0.5000 0.0000
# Energy: -57.75 eV/cell
# Calculated density: 7.73 g/cm3

***

| no. | D(E_F) (states/eV/f.u.) |
| --- | --- |
| 1 | 2.77 |
| 2 | 3.84 |
| 3 | 3.45 |
| 4 | 3.27 |
| 5 | 3.75 |
| 6 | 7.31 |
| 7 | 4.24 |
| 8 | 6.23 |
| 9 | 6.31 |
| 10 | 7.36 |
| 11 | 6.21 |
| 12 | 3.79 |